An optimized crystal structure of MgSb2TeO, computed with PBE-GGA.

abc: 5.3325 5.3325 5.2182
angles: 90.00 90.00 90.00
Element x y z (fractional)
Mg  0.0000  0.0000  0.0000
Sb  0.0000  0.5000  0.0000
Sb  0.5000  0.0000  0.0000
Te  0.0000  0.0000  0.5000
O  0.5000  0.5000  0.5000

Results
The uncorrected formation energy is 0.94 eV/atom. The density of states at the Fermi level comes out at 13.98 states/eV/f.u. Its energy above the most stable polymorph in this dataset is 1028 meV per atom.

An optimized crystal structure of RbBaW2C, computed with PBE-GGA.

abc: 6.5915 6.5915 5.1358
angles: 90.00 90.00 90.00
Element x y z (fractional)
Rb  0.0000  0.0000  0.0000
Ba  0.5000  0.5000  0.5000
W  0.0000  0.5000  0.5000
W  0.5000  0.0000  0.5000
C  0.5000  0.5000  0.0000

Results
The energy of formation from the pure elements comes out at 3513 meV/atom. The density of states at the Fermi level comes out at 1.79 states/eV/f.u.

An optimized crystal structure of Cs2GaHg6Au, computed with PBE-GGA.

abc: 7.9285 7.9285 7.9361
angles: 119.96 119.96 89.89
Element x y z (fractional)
Cs  0.2501  0.7499  0.0000
Cs  0.7499  0.2501  0.0000
Ga  0.0000  0.0000  0.5000
Hg  0.2491  0.2491  0.5001
Hg  0.2492  0.2492  0.9986
Hg  0.2490  0.7510  0.5000
Hg  0.7510  0.2490  0.5000
Hg  0.7508  0.7508  0.0014
Hg  0.7509  0.7509  0.4999
Au  0.5000  0.5000  0.5000

Results
The energy of formation from the pure elements comes out at -174 meV/atom. The density of states at the Fermi level comes out at 3.77 states/eV/f.u.